(1)
Here is an optimized crystal structure of Zr12Sn6Pd from the Alexandria database. Energies are from PBE-GGA.

Computed properties:
E_tot: -7.26 eV per atom
Magnetization: 0.00 μB per cell
Symmetry: R-3 (148)

Lattice parameters (Å, degrees): 7.511 7.511 7.511 90.06 90.06 90.06
Fractional coordinates of all 19 atoms:
Zr (0.021, 0.304, 0.938)
Zr (0.062, 0.979, 0.696)
Zr (0.120, 0.359, 0.441)
Zr (0.304, 0.938, 0.021)
Zr (0.359, 0.441, 0.120)
Zr (0.441, 0.120, 0.359)
Zr (0.559, 0.880, 0.641)
Zr (0.641, 0.559, 0.880)
Zr (0.696, 0.062, 0.979)
Zr (0.880, 0.641, 0.559)
Zr (0.938, 0.021, 0.304)
Zr (0.979, 0.696, 0.062)
Sn (0.228, 0.757, 0.375)
Sn (0.243, 0.625, 0.772)
Sn (0.375, 0.228, 0.757)
Sn (0.625, 0.772, 0.243)
Sn (0.757, 0.375, 0.228)
Sn (0.772, 0.243, 0.625)
Pd (0.500, 0.500, 0.500)


(2)
Here is an optimized crystal structure of GeW from the Alexandria database. Energies are from PBE-GGA.

Computed properties:
Magnetization: 0.00 μB per cell
Energy above the most stable polymorph in this dataset: 0 meV per atom
Symmetry: P2_12_12_1 (19)

Lattice parameters (Å, degrees): 5.020 5.279 9.529 90.00 90.00 90.00
Fractional coordinates of all 16 atoms:
Ge (0.080, 0.084, 0.203)
Ge (0.204, 0.396, 0.546)
Ge (0.296, 0.604, 0.046)
Ge (0.420, 0.916, 0.703)
Ge (0.580, 0.416, 0.797)
Ge (0.704, 0.104, 0.454)
Ge (0.796, 0.896, 0.954)
Ge (0.920, 0.584, 0.297)
W (0.076, 0.575, 0.800)
W (0.204, 0.890, 0.446)
W (0.296, 0.110, 0.946)
W (0.424, 0.425, 0.300)
W (0.576, 0.925, 0.200)
W (0.704, 0.610, 0.554)
W (0.796, 0.390, 0.054)
W (0.924, 0.075, 0.700)


(3)
Here is an optimized crystal structure of RbSi from the Alexandria database. Energies are from PBE-GGA.

Computed properties:
Magnetization: 18.00 μB per cell
Energy above the most stable polymorph in this dataset: 1275 meV per atom
Formation energy without anion corrections: 237 kJ/mol of formula units
Symmetry: Pm-3n (223)

Lattice parameters (Å, degrees): 10.222 10.222 10.222 90.00 90.00 90.00
Fractional coordinates of all 12 atoms:
Rb (0.000, 0.250, 0.500)
Rb (0.000, 0.750, 0.500)
Rb (0.250, 0.500, 0.000)
Rb (0.500, 0.000, 0.250)
Rb (0.500, 0.000, 0.750)
Rb (0.750, 0.500, 0.000)
Si (0.000, 0.500, 0.250)
Si (0.000, 0.500, 0.750)
Si (0.250, 0.000, 0.500)
Si (0.500, 0.250, 0.000)
Si (0.500, 0.750, 0.000)
Si (0.750, 0.000, 0.500)


(4)
Here is an optimized crystal structure of K2LiSc from the Alexandria database. Energies are from PBE-GGA.

Computed properties:
E_tot: -1.91 eV per atom
Magnetization: 3.17 μB per cell
Symmetry: I-42d (122)

Lattice parameters (Å, degrees): 7.811 7.811 7.811 101.33 101.33 127.39
Fractional coordinates of all 8 atoms:
K (0.086, 0.125, 0.461)
K (0.375, 0.914, 0.039)
K (0.664, 0.625, 0.539)
K (0.875, 0.336, 0.961)
Li (0.000, 0.000, 0.000)
Li (0.750, 0.250, 0.500)
Sc (0.250, 0.750, 0.500)
Sc (0.500, 0.500, 0.000)


(5)
Here is an optimized crystal structure of RbYTi from the Alexandria database. Energies are from PBE-GGA.

Computed properties:
Magnetization: 0.21 μB per cell
Energy above the most stable polymorph in this dataset: 237 meV per atom
Symmetry: Cm (8)

Lattice parameters (Å, degrees): 13.381 13.381 4.407 90.12 90.12 19.18
Fractional coordinates of all 6 atoms:
Rb (0.000, 0.000, 0.000)
Rb (0.654, 0.654, 0.496)
Y (0.362, 0.362, 0.996)
Y (0.858, 0.858, 0.496)
Ti (0.279, 0.279, 0.495)
Ti (0.779, 0.779, 0.996)


(6)
Here is an optimized crystal structure of CaSiPd from the Alexandria database. Energies are from PBE-GGA.

Computed properties:
Magnetization: 0.00 μB per cell
Formation energy without anion corrections: -207 kJ/mol of formula units
Symmetry: P-6m2 (187)

Lattice parameters (Å, degrees): 4.207 4.207 4.087 90.00 90.00 120.00
Fractional coordinates of all 3 atoms:
Ca (0.000, 0.000, 0.000)
Si (0.667, 0.333, 0.500)
Pd (0.333, 0.667, 0.500)


(7)
Here is an optimized crystal structure of MgNiC from the Alexandria database. Energies are from PBE-GGA.

Computed properties:
E_tot: -5.38 eV per atom
Magnetization: 0.00 μB per cell
Symmetry: C2/m (12)

Lattice parameters (Å, degrees): 4.917 4.917 6.196 128.68 128.68 36.06
Fractional coordinates of all 6 atoms:
Mg (0.067, 0.067, 0.344)
Mg (0.933, 0.933, 0.656)
Ni (0.265, 0.265, 0.181)
Ni (0.735, 0.735, 0.819)
C (0.404, 0.404, 0.936)
C (0.596, 0.596, 0.064)


(8)
Here is an optimized crystal structure of VRe2Sb from the Alexandria database. Energies are from PBE-GGA.

Computed properties:
Magnetization: 2.48 μB per cell
Formation energy without anion corrections: 287 kJ/mol of formula units
Symmetry: I-42d (122)

Lattice parameters (Å, degrees): 9.595 9.595 9.595 155.98 155.98 34.23
Fractional coordinates of all 8 atoms:
V (0.000, 0.000, 0.000)
V (0.750, 0.250, 0.500)
Re (0.064, 0.625, 0.939)
Re (0.375, 0.314, 0.439)
Re (0.686, 0.125, 0.061)
Re (0.875, 0.936, 0.561)
Sb (0.250, 0.750, 0.500)
Sb (0.500, 0.500, 0.000)


Question: What is the magnetization in the sixth record?
Answer: 0.00 μB per cell


Please write out number 4 again, unchanged.
Here is an optimized crystal structure of K2LiSc from the Alexandria database. Energies are from PBE-GGA.

Computed properties:
E_tot: -1.91 eV per atom
Magnetization: 3.17 μB per cell
Symmetry: I-42d (122)

Lattice parameters (Å, degrees): 7.811 7.811 7.811 101.33 101.33 127.39
Fractional coordinates of all 8 atoms:
K (0.086, 0.125, 0.461)
K (0.375, 0.914, 0.039)
K (0.664, 0.625, 0.539)
K (0.875, 0.336, 0.961)
Li (0.000, 0.000, 0.000)
Li (0.750, 0.250, 0.500)
Sc (0.250, 0.750, 0.500)
Sc (0.500, 0.500, 0.000)